Entry 1:
# K2SrTl2

A relaxed structure of K2SrTl2 (PBE, the Alexandria database).

space-group type = No. 127
excess energy over the best structure of this formula in the dataset = 0.0 kJ per mole of atoms

abc: 8.890 8.890 5.594
angles: 90.00 90.00 90.00
Element x y z (fractional)
1 K 0.168 0.332 0.000
2 K 0.332 0.832 0.000
3 K 0.668 0.168 0.000
4 K 0.832 0.668 0.000
5 Sr 0.000 0.000 0.500
6 Sr 0.500 0.500 0.500
7 Tl 0.125 0.625 0.500
8 Tl 0.375 0.125 0.500
9 Tl 0.625 0.875 0.500
10 Tl 0.875 0.375 0.500

Entry 2:
# K2SrTl9

A relaxed structure of K2SrTl9 (PBE, the Alexandria database).

space-group type = No. 166

abc: 11.645 11.645 11.645
angles: 32.78 32.78 32.78
Element x y z (fractional)
1 K 0.141 0.141 0.141
2 K 0.859 0.859 0.859
3 Sr 0.000 0.000 0.000
4 Tl 0.079 0.585 0.585
5 Tl 0.335 0.335 0.335
6 Tl 0.415 0.415 0.921
7 Tl 0.415 0.921 0.415
8 Tl 0.500 0.500 0.500
9 Tl 0.585 0.079 0.585
10 Tl 0.585 0.585 0.079
11 Tl 0.665 0.665 0.665
12 Tl 0.921 0.415 0.415

Entry 3:
# K2SrTl

A relaxed structure of K2SrTl (PBE, the Alexandria database).

space-group type = No. 216
excess energy over the best structure of this formula in the dataset = 11.0 kJ per mole of atoms

abc: 6.302 6.302 6.302
angles: 60.00 60.00 60.00
Element x y z (fractional)
1 K 0.000 0.000 0.000
2 K 0.250 0.250 0.250
3 Sr 0.500 0.500 0.500
4 Tl 0.750 0.750 0.750

Entry 4:
# K2Sr2Tl

A relaxed structure of K2Sr2Tl (PBE, the Alexandria database).

space-group type = No. 127
excess energy over the best structure of this formula in the dataset = 0.0 kJ per mole of atoms

abc: 8.839 8.839 7.268
angles: 90.00 90.00 90.00
Element x y z (fractional)
1 K 0.175 0.325 0.000
2 K 0.325 0.825 0.000
3 K 0.675 0.175 0.000
4 K 0.825 0.675 0.000
5 Sr 0.165 0.665 0.500
6 Sr 0.335 0.165 0.500
7 Sr 0.665 0.835 0.500
8 Sr 0.835 0.335 0.500
9 Tl 0.000 0.000 0.500
10 Tl 0.500 0.500 0.500

The calculated total energy results, record by record, are as follows: -1.77, -2.21, -1.55, -1.55 eV per atom.
The formation enthalpy at 0 K results, record by record, are as follows: -53, -110, 8, 40 meV per atom.